KIn2Mo: optimized geometry, PBE.

Values from the calculation:
Offset from the most stable computed form in meV per atom: 36
ΔH_f (0 K) in eV per atom: 0.371
Total moment in μB per formula unit: 1.3
Space group: Pmmm, No. 47
E_tot in hartree per atom: -0.146

Cell: 3.0066 4.2111 7.9986 Å, 90.00 90.00 90.00°
Closest atoms and distances in Å follow each position.
Element x y z (fractional)
K 0.0000 0.0000 0.0000  2 K 3.01
In 0.5000 0.5000 0.3144  3 In 2.97-3.01, 4 Mo 2.98
In 0.5000 0.5000 0.6856  3 In 2.97-3.01, 4 Mo 2.98
Mo 0.0000 0.0000 0.5000  8 In 2.98, 2 Mo 3.01

KInMo4: optimized geometry, PBE.

Values from the calculation:
ΔH_f (0 K) in eV per atom: 0.925
Total moment in μB per formula unit: 0.0
Space group: F-43m, No. 216
E_tot in hartree per atom: -0.255

Cell: 5.4798 5.4798 5.4798 Å, 60.00 60.00 60.00°
Closest atoms and distances in Å follow each position.
Element x y z (fractional)
K 0.0000 0.0000 0.0000  12 Mo 3.21, 4 In 3.36
In 0.2500 0.2500 0.2500  12 Mo 3.22, 4 K 3.36
Mo 0.1202 0.6266 0.6266  6 Mo 2.70-2.77
Mo 0.6266 0.1202 0.6266  6 Mo 2.70-2.77
Mo 0.6266 0.6266 0.1202  6 Mo 2.70-2.77
Mo 0.6266 0.6266 0.6266  6 Mo 2.70-2.77

KIn2Mo: optimized geometry, PBE.

Values from the calculation:
Offset from the most stable computed form in meV per atom: 165
ΔH_f (0 K) in eV per atom: 0.499
Total moment in μB per formula unit: 0.9
Space group: C2/m, No. 12
E_tot in hartree per atom: -0.142

Cell: 9.4387 2.9606 7.6305 Å, 90.00 94.82 90.00°
Closest atoms and distances in Å follow each position.
Element x y z (fractional)
K 0.0000 0.0000 0.0000  2 K 2.96
K 0.5000 0.5000 0.0000  2 K 2.96
In 0.2388 0.0000 0.6816  3 Mo 2.93-2.94, 4 In 2.96-3.16
In 0.2612 0.5000 0.3184  3 Mo 2.93-2.94, 4 In 2.96-3.16
In 0.7388 0.5000 0.6816  3 Mo 2.93-2.94, 4 In 2.96-3.16
In 0.7612 0.0000 0.3184  3 Mo 2.93-2.94, 4 In 2.96-3.16
Mo 0.0000 0.5000 0.5000  6 In 2.93-2.94, 2 Mo 2.96
Mo 0.5000 0.0000 0.5000  6 In 2.93-2.94, 2 Mo 2.96

KInMo: optimized geometry, PBE.

Values from the calculation:
Offset from the most stable computed form in meV per atom: 67
ΔH_f (0 K) in eV per atom: 0.853
Total moment in μB per formula unit: 0.0
Space group: P3m1, No. 156
E_tot in hartree per atom: -0.148

Cell: 3.0581 3.0581 8.5775 Å, 90.00 90.00 120.00°
Closest atoms and distances in Å follow each position.
Element x y z (fractional)
K 0.0000 0.0000 0.0000  6 K 3.06
In 0.3333 0.6667 0.6327  3 Mo 2.97, 6 In 3.06
Mo 0.6667 0.3333 0.3545  3 In 2.97, 6 Mo 3.06

KIn2Mo: optimized geometry, PBE.

Values from the calculation:
Offset from the most stable computed form in meV per atom: 315
ΔH_f (0 K) in eV per atom: 0.650
Total moment in μB per formula unit: 0.2
Space group: Cmmm, No. 65
E_tot in hartree per atom: -0.136

Cell: 7.6960 7.7401 3.0666 Å, 90.00 90.00 90.00°
Closest atoms and distances in Å follow each position.
Element x y z (fractional)
K 0.0000 0.0000 0.0000  2 K 3.07, 8 In 3.13
K 0.5000 0.5000 0.0000  2 K 3.07, 8 In 3.13
In 0.2500 0.2500 0.5000  2 In 3.07, 4 Mo 3.13, 4 K 3.13
In 0.2500 0.7500 0.5000  2 In 3.07, 4 Mo 3.13, 4 K 3.13
In 0.7500 0.2500 0.5000  2 In 3.07, 4 Mo 3.13, 4 K 3.13
In 0.7500 0.7500 0.5000  2 In 3.07, 4 Mo 3.13, 4 K 3.13
Mo 0.0000 0.5000 0.0000  2 Mo 3.07, 8 In 3.13
Mo 0.5000 0.0000 0.0000  2 Mo 3.07, 8 In 3.13

K2InMo: optimized geometry, PBE.

Values from the calculation:
ΔH_f (0 K) in eV per atom: 0.814
Total moment in μB per formula unit: 0.0
Space group: P4mm, No. 99
E_tot in hartree per atom: -0.115

Cell: 3.0864 3.0864 12.1622 Å, 90.00 90.00 90.00°
Closest atoms and distances in Å follow each position.
Element x y z (fractional)
K 0.0000 0.0000 0.0000  4 K 3.09
K 0.5000 0.5000 0.3570  4 K 3.09
In 0.5000 0.5000 0.7647  4 Mo 3.02, 4 In 3.09
Mo 0.0000 0.0000 0.5927  4 In 3.02, 4 Mo 3.09

KIn2Mo: optimized geometry, PBE.

Values from the calculation:
Offset from the most stable computed form in meV per atom: 306
ΔH_f (0 K) in eV per atom: 0.640
Total moment in μB per formula unit: 0.0
Space group: Cmm2, No. 35
E_tot in hartree per atom: -0.136

Cell: 3.9945 4.5678 10.6495 Å, 90.00 90.00 90.00°
Closest atoms and distances in Å follow each position.
Element x y z (fractional)
K 0.0000 0.0000 0.0000  4 K 3.03
K 0.5000 0.5000 0.0000  4 K 3.03
In 0.0000 0.0000 0.4675  4 Mo 2.88-3.08, 4 In 3.03
In 0.0000 0.5000 0.7111  6 In 3.03-3.27
In 0.5000 0.0000 0.7111  6 In 3.03-3.27
In 0.5000 0.5000 0.4675  4 Mo 2.88-3.08, 4 In 3.03
Mo 0.0000 0.5000 0.2731  4 In 2.88-3.08, 4 Mo 3.03
Mo 0.5000 0.0000 0.2731  4 In 2.88-3.08, 4 Mo 3.03

K2InMo: optimized geometry, PBE.

Values from the calculation:
ΔH_f (0 K) in eV per atom: 0.671
Total moment in μB per formula unit: 2.3
Space group: P4mm, No. 99
E_tot in hartree per atom: -0.120

Cell: 3.8783 3.8783 10.2220 Å, 90.00 90.00 90.00°
Closest atoms and distances in Å follow each position.
Element x y z (fractional)
K 0.0000 0.0000 0.0000  1 Mo 3.33
K 0.5000 0.5000 0.3913  1 In 3.37
In 0.5000 0.5000 0.7207  4 Mo 2.78
Mo 0.0000 0.0000 0.6738  4 In 2.78

KInMo: optimized geometry, PBE.

Values from the calculation:
Offset from the most stable computed form in meV per atom: 0
ΔH_f (0 K) in eV per atom: 0.786
Total moment in μB per formula unit: 0.0
Space group: Fmm2, No. 42
E_tot in hartree per atom: -0.151

Cell: 3.9207 4.2743 16.6112 Å, 90.00 90.00 90.00°
Closest atoms and distances in Å follow each position.
Element x y z (fractional)
K 0.0000 0.0000 0.0000  4 K 2.90
K 0.0000 0.5000 0.5000  4 K 2.90
K 0.5000 0.0000 0.5000  4 K 2.90
K 0.5000 0.5000 0.0000  4 K 2.90
In 0.0000 0.0000 0.6817  4 In 2.90, 4 Mo 3.00-3.11
In 0.0000 0.5000 0.1817  4 In 2.90, 4 Mo 3.00-3.11
In 0.5000 0.0000 0.1817  4 In 2.90, 4 Mo 3.00-3.11
In 0.5000 0.5000 0.6817  4 In 2.90, 4 Mo 3.00-3.11
Mo 0.0000 0.0000 0.3181  4 Mo 2.90, 4 In 3.00-3.11
Mo 0.0000 0.5000 0.8181  4 Mo 2.90, 4 In 3.00-3.11
Mo 0.5000 0.0000 0.8181  4 Mo 2.90, 4 In 3.00-3.11
Mo 0.5000 0.5000 0.3181  4 Mo 2.90, 4 In 3.00-3.11

KIn2Mo: optimized geometry, PBE.

Values from the calculation:
Offset from the most stable computed form in meV per atom: 111
ΔH_f (0 K) in eV per atom: 0.446
Total moment in μB per formula unit: 0.0
Space group: R-3m, No. 166
E_tot in hartree per atom: -0.144

Cell: 3.1832 3.1832 32.2498 Å, 90.00 90.00 120.00°
Closest atoms and distances in Å follow each position.
Element x y z (fractional)
K 0.0000 0.0000 0.0000  6 K 3.18, 6 In 3.56
K 0.3333 0.6667 0.6667  6 K 3.18, 6 In 3.56
K 0.6667 0.3333 0.3333  6 K 3.18, 6 In 3.56
In 0.0000 0.0000 0.2388  3 Mo 2.96, 6 In 3.18
In 0.0000 0.0000 0.7612  3 Mo 2.96, 6 In 3.18
In 0.3333 0.6667 0.4279  3 Mo 2.96, 6 In 3.18
In 0.3333 0.6667 0.9055  3 Mo 2.97, 6 In 3.18
In 0.6667 0.3333 0.0945  3 Mo 2.97, 6 In 3.18
In 0.6667 0.3333 0.5721  3 Mo 2.96, 6 In 3.18
Mo 0.0000 0.0000 0.5000  6 In 2.96, 6 Mo 3.18
Mo 0.3333 0.6667 0.1667  6 In 2.96-2.97, 6 Mo 3.18
Mo 0.6667 0.3333 0.8333  6 In 2.96-2.97, 6 Mo 3.18

KIn3Mo: optimized geometry, PBE.

Values from the calculation:
Offset from the most stable computed form in meV per atom: 0
ΔH_f (0 K) in eV per atom: 0.192
Total moment in μB per formula unit: 0.0
Space group: Pm-3m, No. 221
E_tot in hartree per atom: -0.141

Cell: 5.3623 5.3623 5.3623 Å, 90.00 90.00 90.00°
Closest atoms and distances in Å follow each position.
Element x y z (fractional)
K 0.0000 0.0000 0.0000  12 In 3.79
In 0.0000 0.5000 0.5000  2 Mo 2.68
In 0.5000 0.0000 0.5000  2 Mo 2.68
In 0.5000 0.5000 0.0000  2 Mo 2.68
Mo 0.5000 0.5000 0.5000  6 In 2.68

KIn2Mo: optimized geometry, PBE.

Values from the calculation:
Offset from the most stable computed form in meV per atom: 380
ΔH_f (0 K) in eV per atom: 0.714
Total moment in μB per formula unit: 3.2
Space group: Fm-3m, No. 225
E_tot in hartree per atom: -0.134

Cell: 7.3736 7.3736 7.3736 Å, 90.00 90.00 90.00°
Closest atoms and distances in Å follow each position.
Element x y z (fractional)
K 0.0000 0.0000 0.0000  8 In 3.19
K 0.0000 0.5000 0.5000  8 In 3.19
K 0.5000 0.0000 0.5000  8 In 3.19
K 0.5000 0.5000 0.0000  8 In 3.19
In 0.2500 0.2500 0.2500  4 K 3.19, 4 Mo 3.19
In 0.2500 0.2500 0.7500  4 Mo 3.19, 4 K 3.19
In 0.2500 0.7500 0.2500  4 Mo 3.19, 4 K 3.19
In 0.2500 0.7500 0.7500  4 K 3.19, 4 Mo 3.19
In 0.7500 0.2500 0.2500  4 Mo 3.19, 4 K 3.19
In 0.7500 0.2500 0.7500  4 K 3.19, 4 Mo 3.19
In 0.7500 0.7500 0.2500  4 K 3.19, 4 Mo 3.19
In 0.7500 0.7500 0.7500  4 Mo 3.19, 4 K 3.19
Mo 0.0000 0.0000 0.5000  8 In 3.19
Mo 0.0000 0.5000 0.0000  8 In 3.19
Mo 0.5000 0.0000 0.0000  8 In 3.19
Mo 0.5000 0.5000 0.5000  8 In 3.19